# Zr3GaN (PBE-GGA, optimized geometry)
# N(E_F) = 0.67 states/eV/atom
# formation energy (no corrections) = -0.848 eV/atom
# symmetry = No. 51
data_Zr3GaN
_cell_length_a 4.505
_cell_length_b 4.385
_cell_length_c 9.105
_cell_angle_alpha 90.00
_cell_angle_beta 90.00
_cell_angle_gamma 90.00
_symmetry_space_group_name_H-M 'P 1'
_symmetry_Int_Tables_number 1
_symmetry_space_group_name_Hall 'P 1'
loop_
_atom_site_label
_atom_site_type_symbol
_atom_site_fract_x
_atom_site_fract_y
_atom_site_fract_z
_atom_site_occupancy
Zr1 Zr 0.250 0.000 0.117 1
Zr2 Zr 0.250 0.000 0.623 1
Zr3 Zr 0.250 0.500 0.368 1
Zr4 Zr 0.750 0.000 0.377 1
Zr5 Zr 0.750 0.000 0.883 1
Zr6 Zr 0.750 0.500 0.632 1
Ga1 Ga 0.250 0.500 0.866 1
Ga2 Ga 0.750 0.500 0.134 1
N1 N 0.250 0.000 0.368 1
N2 N 0.750 0.000 0.632 1

# Mn8Cr (PBE-GGA, optimized geometry)
# E_form = 90 kJ/mol of formula units
# N(E_F) = 1.26 states/eV/atom
# symmetry = No. 139
data_Mn8Cr
_cell_length_a 5.577
_cell_length_b 5.577
_cell_length_c 5.577
_cell_angle_alpha 95.62
_cell_angle_beta 95.62
_cell_angle_gamma 143.53
_symmetry_space_group_name_H-M 'P 1'
_symmetry_Int_Tables_number 1
_symmetry_space_group_name_Hall 'P 1'
loop_
_atom_site_label
_atom_site_type_symbol
_atom_site_fract_x
_atom_site_fract_y
_atom_site_fract_z
_atom_site_occupancy
Mn1 Mn 0.000 0.337 0.337 1
Mn2 Mn 0.000 0.663 0.663 1
Mn3 Mn 0.330 0.330 0.660 1
Mn4 Mn 0.330 0.670 0.000 1
Mn5 Mn 0.337 0.000 0.337 1
Mn6 Mn 0.663 0.000 0.663 1
Mn7 Mn 0.670 0.330 0.000 1
Mn8 Mn 0.670 0.670 0.340 1
Cr1 Cr 0.000 0.000 0.000 1

# Nd2MgBe2Pd5 (PBE-GGA, optimized geometry)
# E_form = -651 kJ/mol of formula units
# N(E_F) = 0.45 states/eV/atom
# symmetry = No. 127
data_Nd2MgBe2Pd5
_cell_length_a 9.917
_cell_length_b 9.917
_cell_length_c 3.498
_cell_angle_alpha 90.00
_cell_angle_beta 90.00
_cell_angle_gamma 90.00
_symmetry_space_group_name_H-M 'P 1'
_symmetry_Int_Tables_number 1
_symmetry_space_group_name_Hall 'P 1'
loop_
_atom_site_label
_atom_site_type_symbol
_atom_site_fract_x
_atom_site_fract_y
_atom_site_fract_z
_atom_site_occupancy
Nd1 Nd 0.179 0.321 0.000 1
Nd2 Nd 0.321 0.821 0.000 1
Nd3 Nd 0.679 0.179 0.000 1
Nd4 Nd 0.821 0.679 0.000 1
Mg1 Mg 0.000 0.000 0.000 1
Mg2 Mg 0.500 0.500 0.000 1
Be1 Be 0.117 0.617 0.000 1
Be2 Be 0.383 0.117 0.000 1
Be3 Be 0.617 0.883 0.000 1
Be4 Be 0.883 0.383 0.000 1
Pd1 Pd 0.000 0.500 0.500 1
Pd2 Pd 0.067 0.779 0.500 1
Pd3 Pd 0.221 0.067 0.500 1
Pd4 Pd 0.279 0.567 0.500 1
Pd5 Pd 0.433 0.279 0.500 1
Pd6 Pd 0.500 0.000 0.500 1
Pd7 Pd 0.567 0.721 0.500 1
Pd8 Pd 0.721 0.433 0.500 1
Pd9 Pd 0.779 0.933 0.500 1
Pd10 Pd 0.933 0.221 0.500 1

# SrAlTc (PBE-GGA, optimized geometry)
# E_form = 160 kJ/mol of formula units
# N(E_F) = 1.21 states/eV/atom
# symmetry = No. 156
# E above lowest polymorph = 1.24 eV/f.u.
data_SrAlTc
_cell_length_a 3.418
_cell_length_b 3.418
_cell_length_c 6.731
_cell_angle_alpha 90.00
_cell_angle_beta 90.00
_cell_angle_gamma 120.00
_symmetry_space_group_name_H-M 'P 1'
_symmetry_Int_Tables_number 1
_symmetry_space_group_name_Hall 'P 1'
loop_
_atom_site_label
_atom_site_type_symbol
_atom_site_fract_x
_atom_site_fract_y
_atom_site_fract_z
_atom_site_occupancy
Sr1 Sr 0.000 0.000 0.000 1
Al1 Al 0.333 0.667 0.587 1
Tc1 Tc 0.667 0.333 0.354 1

# CrSbAs2 (PBE-GGA, optimized geometry)
# N(E_F) = 0.39 states/eV/atom
# formation energy (no corrections) = 0.098 eV/atom
# symmetry = No. 12
data_CrSbAs2
_cell_length_a 6.718
_cell_length_b 3.883
_cell_length_c 6.789
_cell_angle_alpha 90.00
_cell_angle_beta 109.32
_cell_angle_gamma 90.00
_symmetry_space_group_name_H-M 'P 1'
_symmetry_Int_Tables_number 1
_symmetry_space_group_name_Hall 'P 1'
loop_
_atom_site_label
_atom_site_type_symbol
_atom_site_fract_x
_atom_site_fract_y
_atom_site_fract_z
_atom_site_occupancy
Cr1 Cr 0.000 0.000 0.000 1
Cr2 Cr 0.500 0.500 0.000 1
Sb1 Sb 0.000 0.500 0.500 1
Sb2 Sb 0.500 0.000 0.500 1
As1 As 0.237 0.500 0.212 1
As2 As 0.263 0.000 0.788 1
As3 As 0.737 0.000 0.212 1
As4 As 0.763 0.500 0.788 1

# GaTcPd2Br (PBE-GGA, optimized geometry)
# N(E_F) = 0.40 states/eV/atom
# formation energy (no corrections) = 0.953 eV/atom
# symmetry = No. 123
data_GaTcPd2Br
_cell_length_a 4.749
_cell_length_b 4.749
_cell_length_c 4.809
_cell_angle_alpha 90.00
_cell_angle_beta 90.00
_cell_angle_gamma 90.00
_symmetry_space_group_name_H-M 'P 1'
_symmetry_Int_Tables_number 1
_symmetry_space_group_name_Hall 'P 1'
loop_
_atom_site_label
_atom_site_type_symbol
_atom_site_fract_x
_atom_site_fract_y
_atom_site_fract_z
_atom_site_occupancy
Ga1 Ga 0.000 0.000 0.000 1
Tc1 Tc 0.500 0.500 0.000 1
Pd1 Pd 0.000 0.500 0.500 1
Pd2 Pd 0.500 0.000 0.500 1
Br1 Br 0.500 0.500 0.500 1

Which formula does entry 2 have?
Mn8Cr